a) # Zn2SbP (PBEsol, optimized geometry)
# Spin magnetization (μB per formula unit): 0.00
# D(E_F) (states/eV/f.u.): 1.63
data_Zn2SbP
_cell_length_a 3.584
_cell_length_b 5.289
_cell_length_c 7.818
_cell_angle_alpha 90.00
_cell_angle_beta 90.00
_cell_angle_gamma 90.00
_space_group_name_H-M_alt 'I m m m'
_space_group_IT_number 71
_space_group_name_Hall '-I 2 2'
loop_
_atom_site_label
_atom_site_fract_x
_atom_site_fract_y
_atom_site_fract_z
Zn1 0.000 0.000 0.216
Sb1 0.000 0.500 0.000
P1 0.000 0.500 0.500

---

b) # Zn2SbP (PBEsol, optimized geometry)
# Spin magnetization (μB per formula unit): 0.00
# D(E_F) (states/eV/f.u.): 2.21
data_Zn2SbP
_cell_length_a 6.593
_cell_length_b 6.593
_cell_length_c 6.593
_cell_angle_alpha 90.00
_cell_angle_beta 90.00
_cell_angle_gamma 90.00
_space_group_name_H-M_alt 'F m -3 m'
_space_group_IT_number 225
_space_group_name_Hall '-F 4 2 3'
loop_
_atom_site_label
_atom_site_fract_x
_atom_site_fract_y
_atom_site_fract_z
Zn1 0.250 0.250 0.250
Sb1 0.000 0.000 0.000
P1 0.000 0.000 0.500

---

c) # Zn2SbP (PBEsol, optimized geometry)
# Spin magnetization (μB per formula unit): 0.00
# D(E_F) (states/eV/f.u.): 1.53
data_Zn2SbP
_cell_length_a 3.074
_cell_length_b 3.771
_cell_length_c 6.612
_cell_angle_alpha 90.00
_cell_angle_beta 90.00
_cell_angle_gamma 90.00
_space_group_name_H-M_alt 'P m m 2'
_space_group_IT_number 25
_space_group_name_Hall 'P 2 -2'
loop_
_atom_site_label
_atom_site_fract_x
_atom_site_fract_y
_atom_site_fract_z
Zn1 0.000 0.000 0.000
Zn2 0.500 0.500 0.253
Sb1 0.500 0.500 0.778
P1 0.000 0.000 0.358

---

d) # Zn2SbP (PBEsol, optimized geometry)
# Spin magnetization (μB per formula unit): 0.00
# D(E_F) (states/eV/f.u.): 1.55
data_Zn2SbP
_cell_length_a 5.464
_cell_length_b 7.311
_cell_length_c 4.178
_cell_angle_alpha 90.00
_cell_angle_beta 115.58
_cell_angle_gamma 90.00
_space_group_name_H-M_alt 'C 1 2/m 1'
_space_group_IT_number 12
_space_group_name_Hall '-C 2y'
loop_
_atom_site_label
_atom_site_fract_x
_atom_site_fract_y
_atom_site_fract_z
Zn1 0.250 0.250 0.000
Sb1 0.000 0.000 0.500
P1 0.000 0.500 0.500

---

Least stable: b)